[1]
## Hf2Zr4P3C3 (GGA-PBE)

Data for an optimized crystal structure of Hf2Zr4P3C3.

As for the energy: -9.246 eV per atom.

CIF file:
```
data_Hf2Zr4P3C3
_cell_length_a 10.338
_cell_length_b 5.969
_cell_length_c 12.664
_cell_angle_alpha 90.00
_cell_angle_beta 105.79
_cell_angle_gamma 90.00
_space_group_name_H-M_alt 'C 1 2/c 1'
_space_group_IT_number 15
loop_
_space_group_symop_operation_xyz
'x,y,z'
'-x,-y,-z'
'-x,y,-z+1/2'
'x,-y,z+1/2'
'x+1/2,y+1/2,z'
'-x+1/2,-y+1/2,-z'
'-x+1/2,y+1/2,-z+1/2'
'x+1/2,-y+1/2,z+1/2'
loop_
_atom_site_label
_atom_site_fract_x
_atom_site_fract_y
_atom_site_fract_z
_atom_site_occupancy
Hf1 0.049 0.084 0.397 1
Zr1 0.118 0.417 0.605 1
Zr2 0.215 0.416 0.895 1
P1 0.000 0.413 0.250 1
P2 0.164 0.081 0.750 1
C1 0.082 0.245 0.000 1
C2 0.250 0.250 0.500 1
```

=====

[2]
## LaGa5IrPt (GGA-PBE)

Data for an optimized crystal structure of LaGa5IrPt.

As for the energy: -5.023 eV per atom.

CIF file:
```
data_LaGa5IrPt
_cell_length_a 4.135
_cell_length_b 7.318
_cell_length_c 10.005
_cell_angle_alpha 90.00
_cell_angle_beta 90.00
_cell_angle_gamma 90.00
_space_group_name_H-M_alt 'I m m 2'
_space_group_IT_number 44
loop_
_space_group_symop_operation_xyz
'x,y,z'
'-x,-y,z'
'-x,y,z'
'x,-y,z'
'x+1/2,y+1/2,z+1/2'
'-x+1/2,-y+1/2,z+1/2'
'-x+1/2,y+1/2,z+1/2'
'x+1/2,-y+1/2,z+1/2'
loop_
_atom_site_label
_atom_site_fract_x
_atom_site_fract_y
_atom_site_fract_z
_atom_site_occupancy
La1 0.000 0.000 0.000 1
Ga1 0.000 0.189 0.348 1
Ga2 0.000 0.196 0.646 1
Ga3 0.000 0.500 0.001 1
Ir1 0.000 0.500 0.760 1
Pt1 0.000 0.500 0.243 1
```

=====

[3]
## GaPd4C2S (GGA-PBE)

Data for an optimized crystal structure of GaPd4C2S.

As for the energy: -5.256 eV per atom.

CIF file:
```
data_GaPd4C2S
_cell_length_a 3.2289
_cell_length_b 3.2289
_cell_length_c 12.1103
_cell_angle_alpha 90.00
_cell_angle_beta 90.00
_cell_angle_gamma 120.00
_space_group_name_H-M_alt 'P -6 m 2'
_space_group_IT_number 187
_space_group_name_Hall 'P -6 2'
loop_
_atom_site_label
_atom_site_fract_x
_atom_site_fract_y
_atom_site_fract_z
_atom_site_occupancy
Ga1 0.0000 0.0000 0.0000 1
Pd1 0.0000 0.0000 0.3464 1
Pd2 0.6667 0.3333 0.1578 1
C1 0.3333 0.6667 0.2567 1
S1 0.6667 0.3333 0.5000 1
```

=====

[4]
## LuOs2Pb (GGA-PBE)

Data for an optimized crystal structure of LuOs2Pb.

As for the energy: -7.049 eV per atom.

CIF file:
```
data_LuOs2Pb
_cell_length_a 6.707
_cell_length_b 6.707
_cell_length_c 6.707
_cell_angle_alpha 90.00
_cell_angle_beta 90.00
_cell_angle_gamma 90.00
_space_group_name_H-M_alt 'F -4 3 m'
_space_group_IT_number 216
_space_group_name_Hall 'F -4 2 3'
loop_
_atom_site_label
_atom_site_fract_x
_atom_site_fract_y
_atom_site_fract_z
_atom_site_occupancy
Lu1 0.000 0.000 0.000 1
Os1 0.000 0.000 0.500 1
Os2 0.250 0.250 0.250 1
Pb1 0.250 0.250 0.750 1
```

=====

[5]
## Au (GGA-PBE)

Data for an optimized crystal structure of Au.

As for the energy: -3.263 eV per atom. For the energy of formation, the calculation gives 0 kJ/mol of atoms. As for the energy above the lowest structure with this stoichiometry: 3 meV per atom.

CIF file:
```
data_Au
_cell_length_a 2.9268
_cell_length_b 2.9268
_cell_length_c 9.5676
_cell_angle_alpha 90.00
_cell_angle_beta 90.00
_cell_angle_gamma 120.00
_space_group_name_H-M_alt 'P 63/m m c'
_space_group_IT_number 194
_space_group_name_Hall '-P 6c 2c'
loop_
_atom_site_label
_atom_site_fract_x
_atom_site_fract_y
_atom_site_fract_z
_atom_site_occupancy
Au1 0.0000 0.0000 0.0000 1
Au2 0.3333 0.6667 0.2500 1
```

=====

[6]
## ZrSc (GGA-PBE)

Data for an optimized crystal structure of ZrSc.

As for the energy: -7.453 eV per atom. For the energy of formation, the calculation gives -1 kJ/mol of atoms.

CIF file:
```
data_ZrSc
_cell_length_a 5.126
_cell_length_b 3.205
_cell_length_c 5.629
_cell_angle_alpha 90.00
_cell_angle_beta 90.00
_cell_angle_gamma 90.00
_space_group_name_H-M_alt 'P m m a'
_space_group_IT_number 51
loop_
_space_group_symop_operation_xyz
'x,y,z'
'-x,-y,-z'
'-x+1/2,-y,z'
'x+1/2,y,-z'
'x+1/2,-y,-z'
'-x+1/2,y,z'
'-x,y,-z'
'x,-y,z'
loop_
_atom_site_label
_atom_site_fract_x
_atom_site_fract_y
_atom_site_fract_z
_atom_site_occupancy
Zr1 0.250 0.000 0.168 1
Sc1 0.250 0.500 0.665 1
```

=====

[7]
## Dy3Er3Bi2Os (GGA-PBE)

Data for an optimized crystal structure of Dy3Er3Bi2Os.

As for the energy: -5.767 eV per atom. As for the energy above the lowest structure with this stoichiometry: 0 meV per atom.

CIF file:
```
data_Dy3Er3Bi2Os
_cell_length_a 4.238
_cell_length_b 14.314
_cell_length_c 8.269
_cell_angle_alpha 90.00
_cell_angle_beta 90.00
_cell_angle_gamma 90.00
_space_group_name_H-M_alt 'A m m 2'
_space_group_IT_number 38
loop_
_space_group_symop_operation_xyz
'x,y,z'
'-x,-y,z'
'-x,y,z'
'x,-y,z'
'x,y+1/2,z+1/2'
'-x,-y+1/2,z+1/2'
'-x,y+1/2,z+1/2'
'x,-y+1/2,z+1/2'
loop_
_atom_site_label
_atom_site_fract_x
_atom_site_fract_y
_atom_site_fract_z
_atom_site_occupancy
Dy1 0.000 0.000 0.000 1
Dy2 0.000 0.193 0.419 1
Er1 0.500 0.000 0.380 1
Er2 0.500 0.116 0.729 1
Bi1 0.500 0.167 0.113 1
Os1 0.000 0.000 0.612 1
```

=====

[8]
## NaHfAg3Se4 (GGA-PBE)

Data for an optimized crystal structure of NaHfAg3Se4.

As for the energy: -4.464 eV per atom.

CIF file:
```
data_NaHfAg3Se4
_cell_length_a 6.326
_cell_length_b 6.326
_cell_length_c 6.326
_cell_angle_alpha 90.00
_cell_angle_beta 90.00
_cell_angle_gamma 90.00
_space_group_name_H-M_alt 'P -4 3 m'
_space_group_IT_number 215
_space_group_name_Hall 'P -4 2 3'
loop_
_atom_site_label
_atom_site_fract_x
_atom_site_fract_y
_atom_site_fract_z
_atom_site_occupancy
Na1 0.000 0.000 0.000 1
Hf1 0.500 0.500 0.500 1
Ag1 0.000 0.500 0.500 1
Se1 0.267 0.267 0.267 1
```

=====

[9]
## Lu7Mg2Te2 (GGA-PBE)

Data for an optimized crystal structure of Lu7Mg2Te2.

As for the energy: -4.068 eV per atom.

CIF file:
```
data_Lu7Mg2Te2
_cell_length_a 4.214
_cell_length_b 15.126
_cell_length_c 9.645
_cell_angle_alpha 90.00
_cell_angle_beta 90.00
_cell_angle_gamma 90.00
_space_group_name_H-M_alt 'I m m 2'
_space_group_IT_number 44
loop_
_space_group_symop_operation_xyz
'x,y,z'
'-x,-y,z'
'-x,y,z'
'x,-y,z'
'x+1/2,y+1/2,z+1/2'
'-x+1/2,-y+1/2,z+1/2'
'-x+1/2,y+1/2,z+1/2'
'x+1/2,-y+1/2,z+1/2'
loop_
_atom_site_label
_atom_site_fract_x
_atom_site_fract_y
_atom_site_fract_z
_atom_site_occupancy
Lu1 0.000 0.000 0.000 1
Lu2 0.000 0.126 0.590 1
Lu3 0.000 0.319 0.372 1
Lu4 0.000 0.359 0.765 1
Mg1 0.000 0.227 0.074 1
Te1 0.000 0.000 0.340 1
Te2 0.000 0.500 0.229 1
```

=====

[10]
## Hg2Pt7 (GGA-PBE)

Data for an optimized crystal structure of Hg2Pt7.

As for the energy: -4.656 eV per atom. For the energy of formation, the calculation gives 12 kJ/mol of atoms. As for the energy above the lowest structure with this stoichiometry: 10 meV per atom.

CIF file:
```
data_Hg2Pt7
_cell_length_a 5.2952
_cell_length_b 5.2952
_cell_length_c 26.6544
_cell_angle_alpha 90.00
_cell_angle_beta 90.00
_cell_angle_gamma 120.00
_space_group_name_H-M_alt 'P 63/m m c'
_space_group_IT_number 194
_space_group_name_Hall '-P 6c 2c'
loop_
_atom_site_label
_atom_site_fract_x
_atom_site_fract_y
_atom_site_fract_z
_atom_site_occupancy
Hg1 0.3333 0.6667 0.0257 1
Hg2 0.3333 0.6667 0.1731 1
Pt1 0.0000 0.0000 0.0000 1
Pt2 0.0000 0.0000 0.1658 1
Pt3 0.1666 0.3331 0.7500 1
Pt4 0.1682 0.3364 0.5811 1
Pt5 0.3333 0.6667 0.6660 1
```